Here is a relaxed structure of MgWS2I from Alexandria via LeMat-Bulk. Energies are from PBE-GGA.

Formation energy without anion corrections = 0.974 eV/atom
E_tot = -3.90 eV per atom

Cell lengths 4.7022, 5.5525, 4.7022 Å; angles 90.00, 90.00, 90.00 degrees
Closest atoms and distances in Å follow each position.
Positions (direct):
I: 0.0000 0.5000 0.0000  2 Mg 2.78
S: 0.0000 0.0000 0.5000  2 Mg 2.35
S: 0.5000 0.0000 0.0000  2 Mg 2.35
Mg: 0.0000 0.0000 0.0000  4 S 2.35
W: 0.5000 0.5000 0.5000  4 I 3.32, 8 S 3.64